Computed, not measured: a relaxed LaNpP crystal at the PBE level of DFT.

Structure (extended XYZ):
```
12
Lattice="-0.600 -0.833 3.591 -7.794 -3.817 -2.189 4.158 -7.846 -1.126" Properties=species:S:1:pos:R:3 pbc="T T T"
Np -3.441 -5.687 0.047
Np -0.796 -6.809 0.229
Np -2.337 -7.117 -2.042
Np -1.299 -4.545 -1.272
P 0.233 -4.246 0.996
P -3.935 -3.433 -1.454
P 0.298 -8.230 -1.860
P -4.470 -8.250 -0.720
La -2.317 -2.215 1.041
La -5.897 -5.877 -2.350
La -1.920 -10.280 -0.764
La 2.260 -5.785 -0.965
```

Results
Formation enthalpy at 0 K: -0.549 eV per atom